# GGA+U Li17Ni11O28, relaxed
data_Li17Ni11O28
_chemical_formula_sum 'Li17 Ni11 O28'
_cell_length_a 5.7860
_cell_length_b 6.3923
_cell_length_c 13.1586
_cell_angle_alpha 84.35
_cell_angle_beta 82.85
_cell_angle_gamma 75.89
_space_group_name_H-M_alt 'P -1'
_space_group_IT_number 2
_space_group_name_Hall '-P 1'
loop_
_atom_site_label
_atom_site_fract_x
_atom_site_fract_y
_atom_site_fract_z
_atom_site_occupancy
Li1 0.0000 0.0000 0.0000 1
Li2 0.0000 0.5000 0.5000 1
Li3 0.0867 0.4279 0.2889 1
Li4 0.1449 0.3567 0.0734 1
Li5 0.2067 0.2755 0.8600 1
Li6 0.2223 0.7817 0.3571 1
Li7 0.2802 0.2221 0.6426 1
Li8 0.3639 0.1379 0.4300 1
Li9 0.4331 0.0600 0.2168 1
Li10 0.5000 0.0000 0.0000 1
Ni1 0.0603 0.9302 0.7844 1
Ni2 0.1327 0.8576 0.5707 1
Ni3 0.2927 0.7154 0.1431 1
Ni4 0.3528 0.6417 0.9282 1
Ni5 0.4146 0.5703 0.7133 1
Ni6 0.5000 0.5000 0.5000 1
O1 0.0176 0.7659 0.2391 1
O2 0.0666 0.1556 0.5294 1
O3 0.1060 0.6775 0.0381 1
O4 0.1228 0.1021 0.3212 1
O5 0.1406 0.6264 0.8133 1
O6 0.1969 0.5547 0.6033 1
O7 0.2097 0.0205 0.1174 1
O8 0.2711 0.9413 0.8832 1
O9 0.3167 0.8892 0.6772 1
O10 0.3285 0.4603 0.3894 1
O11 0.3752 0.4116 0.1729 1
O12 0.4090 0.8083 0.4744 1
O13 0.4386 0.3289 0.9577 1
O14 0.4976 0.7340 0.2429 1
# * offset from the most stable computed form: 0.000 eV/atom
# * spin magnetization: 0.93 μB/cell
# * final energy: -4.858 eV/atom
# * theoretical density: 4.307 g/cm3